PBE+U BaCrF3, optimized geometry; SG = Pm-3m; DOS(E_F) = 0.356 states/eV/atom; total magnetic moment = 4.9 Bohr magnetons per cell; energy relative to the lowest polymorph listed for this composition = 0.0 kJ per mole of atoms; volume = 87.29 Å³ per cell
1.0
4.4360 0.0000 0.0000
0.0000 4.4360 0.0000
0.0000 0.0000 4.4360
Ba Cr F
1 1 3
direct
0.0000 0.0000 0.0000 Ba
0.5000 0.5000 0.5000 Cr
0.0000 0.5000 0.5000 F
0.5000 0.0000 0.5000 F
0.5000 0.5000 0.0000 F